Record 1
# CaTiCuO4 | Alexandria via LeMat-Bulk | PBE | optimized geometry
data_CaTiCuO4
_chemical_formula_sum 'Ca2 Ti2 Cu2 O8'
_symmetry_space_group_name_H-M 'P 4/n m m'
_symmetry_Int_Tables_number 129
_cell_length_a 3.944
_cell_length_b 3.944
_cell_length_c 10.635
_cell_angle_alpha 90.00
_cell_angle_beta 90.00
_cell_angle_gamma 90.00
loop_
_symmetry_equiv_pos_as_xyz
'x,y,z'
'-x,-y,-z'
'-y+1/2,x,z'
'y+1/2,-x,-z'
'-x+1/2,-y+1/2,z'
'x+1/2,y+1/2,-z'
'y,-x+1/2,z'
'-y,x+1/2,-z'
'x+1/2,-y,-z'
'-x+1/2,y,z'
'-y,-x,-z'
'y,x,z'
'-x,y+1/2,-z'
'x,-y+1/2,z'
'y+1/2,x+1/2,-z'
'-y+1/2,-x+1/2,z'
loop_
_atom_site_label
_atom_site_type_symbol
_atom_site_fract_x
_atom_site_fract_y
_atom_site_fract_z
Ca1 Ca 0.250 0.250 0.129
Ti1 Ti 0.250 0.250 0.740
Cu1 Cu 0.250 0.750 0.500
O1 O 0.250 0.250 0.527
O2 O 0.250 0.250 0.913
O3 O 0.250 0.750 0.267
# V: 165 Å³ per cell
# Spin magnetization: 0.28 μB/f.u.
# DOS at the Fermi energy: 3.82 states/eV per cell
# Crystal system: tetragonal
# DFT total energy: -7.120 eV per atom
# ρ: 4.327 g/cm3
# E_form (uncorrected): -220.7 kJ per mole of atoms


Record 2
# MnS3I | Alexandria via LeMat-Bulk | PBE | optimized geometry
data_MnS3I
_chemical_formula_sum 'Mn1 S3 I1'
_symmetry_space_group_name_H-M 'P m -3 m'
_symmetry_Int_Tables_number 221
_symmetry_space_group_name_Hall '-P 4 2 3'
_cell_length_a 5.048
_cell_length_b 5.048
_cell_length_c 5.048
_cell_angle_alpha 90.00
_cell_angle_beta 90.00
_cell_angle_gamma 90.00
loop_
_atom_site_label
_atom_site_type_symbol
_atom_site_fract_x
_atom_site_fract_y
_atom_site_fract_z
Mn1 Mn 0.000 0.000 0.000
S1 S 0.000 0.500 0.500
I1 I 0.500 0.500 0.500
# V: 129 Å³ per cell
# Spin magnetization: 5.04 μB/f.u.
# DOS at the Fermi energy: 1.83 states/eV per cell
# Crystal system: cubic
# DFT total energy: -3.624 eV per atom
# ρ: 3.588 g/cm3
# E_form (uncorrected): 96.2 kJ per mole of atoms


Record 3
# SrLa3Pm2Se6 | Alexandria via LeMat-Bulk | PBE | optimized geometry
data_SrLa3Pm2Se6
_chemical_formula_sum 'Sr2 La6 Pm4 Se12'
_symmetry_space_group_name_H-M 'C 1 2/m 1'
_symmetry_Int_Tables_number 12
_symmetry_space_group_name_Hall '-C 2y'
_cell_length_a 7.423
_cell_length_b 12.873
_cell_length_c 7.429
_cell_angle_alpha 90.00
_cell_angle_beta 109.42
_cell_angle_gamma 90.00
loop_
_atom_site_label
_atom_site_type_symbol
_atom_site_fract_x
_atom_site_fract_y
_atom_site_fract_z
Sr1 Sr 0.000 0.000 0.000
La1 La 0.000 0.165 0.500
La2 La 0.000 0.500 0.500
Pm1 Pm 0.000 0.333 0.000
Se1 Se 0.243 0.500 0.243
Se2 Se 0.249 0.331 0.753
# V: 669 Å³ per cell
# Spin magnetization: 0.00 μB/f.u.
# DOS at the Fermi energy: 13.90 states/eV per cell
# Crystal system: monoclinic
# DFT total energy: -5.841 eV per atom
# ρ: 6.291 g/cm3
# E_form (uncorrected): -186.7 kJ per mole of atoms


Record 4
# CaMg2Zr | Alexandria via LeMat-Bulk | PBE | optimized geometry
data_CaMg2Zr
_chemical_formula_sum 'Ca2 Mg4 Zr2'
_symmetry_space_group_name_H-M 'I m m m'
_symmetry_Int_Tables_number 71
_symmetry_space_group_name_Hall '-I 2 2'
_cell_length_a 3.793
_cell_length_b 5.260
_cell_length_c 10.527
_cell_angle_alpha 90.00
_cell_angle_beta 90.00
_cell_angle_gamma 90.00
loop_
_atom_site_label
_atom_site_type_symbol
_atom_site_fract_x
_atom_site_fract_y
_atom_site_fract_z
Ca1 Ca 0.000 0.000 0.000
Mg1 Mg 0.000 0.500 0.241
Zr1 Zr 0.000 0.000 0.500
# V: 210 Å³ per cell
# Spin magnetization: 1.51 μB/f.u.
# DOS at the Fermi energy: 9.34 states/eV per cell
# Crystal system: orthorhombic
# DFT total energy: -3.161 eV per atom
# ρ: 2.845 g/cm3


> What is the formula in the second record?

MnS3I


> Which of these has the highest ρ?

SrLa3Pm2Se6